Record 1
Computed, not measured: CaInMo2 after structural relaxation at the PBE-GGA level of DFT.

Cell lengths 5.115, 2.872, 5.485 Å; angles 83.74, 90.00, 90.00 degrees
Positions (direct):
Mo1 0.000 0.919 0.029
Mo2 0.000 0.581 0.471
Ca1 0.500 0.250 0.250
In1 0.500 0.750 0.750

The crystal system is monoclinic. Its formation enthalpy at 0 K is 211.0 kJ/mol of formula units. The density of states at the Fermi level comes out at 2.92 states/eV per cell.


Record 2
Computed, not measured: TmAlIrPd after structural relaxation at the PBE-GGA level of DFT.

Cell lengths 4.592, 4.592, 4.592 Å; angles 60.00, 60.00, 60.00 degrees
Positions (direct):
Ir1 0.250 0.250 0.250
Tm1 0.500 0.500 0.500
Al1 0.000 0.000 0.000
Pd1 0.750 0.750 0.750

The crystal system is cubic. Its formation enthalpy at 0 K is -331.0 kJ/mol of formula units. The density of states at the Fermi level comes out at 2.96 states/eV per cell.


Record 3
Computed, not measured: MnCdBr3 after structural relaxation at the PBE-GGA level of DFT.

Cell lengths 5.488, 5.488, 5.488 Å; angles 90.00, 90.00, 90.00 degrees
Positions (direct):
Mn1 0.500 0.500 0.500
Br1 0.000 0.500 0.000
Br2 0.000 0.000 0.500
Br3 0.500 0.000 0.000
Cd1 0.000 0.000 0.000

The crystal system is cubic. The calculation puts the energy relative to the elements, uncorrected at -0.0934 eV per atom. The density of states at the Fermi level comes out at 0.26 states/eV per cell.


Record 4
Computed, not measured: Nd4ThSb6 after structural relaxation at the PBE-GGA level of DFT.

Cell lengths 4.551, 8.039, 20.944 Å; angles 90.00, 90.00, 106.44 degrees
Positions (direct):
Nd1 0.860 0.720 0.541
Nd2 0.405 0.810 0.132
Nd3 0.140 0.280 0.459
Nd4 0.595 0.190 0.868
Nd5 0.860 0.720 0.959
Nd6 0.140 0.280 0.041
Nd7 0.595 0.190 0.632
Nd8 0.405 0.810 0.368
Th1 0.662 0.324 0.250
Th2 0.338 0.676 0.750
Sb1 0.500 0.000 0.000
Sb2 0.500 0.000 0.500
Sb3 0.040 0.079 0.320
Sb4 0.960 0.921 0.680
Sb5 0.960 0.921 0.820
Sb6 0.040 0.079 0.180
Sb7 0.764 0.529 0.405
Sb8 0.236 0.471 0.595
Sb9 0.236 0.471 0.905
Sb10 0.764 0.529 0.095
Sb11 0.295 0.591 0.250
Sb12 0.705 0.409 0.750

The crystal system is orthorhombic. The calculation puts the energy relative to the elements, uncorrected at -0.8967 eV per atom. The density of states at the Fermi level comes out at 6.52 states/eV per cell.


Record 5
Computed, not measured: ZrTlCu after structural relaxation at the PBE-GGA level of DFT.

Cell lengths 4.565, 5.621, 5.621 Å; angles 89.26, 66.04, 66.05 degrees
Positions (direct):
Tl1 0.459 0.155 0.072
Tl2 0.965 0.649 0.566
Zr1 0.212 0.735 0.986
Zr2 0.712 0.236 0.485
Cu1 0.415 0.865 0.451
Cu2 0.009 0.270 0.856

The crystal system is orthorhombic. Its formation enthalpy at 0 K is 0.0 kJ/mol of formula units. The density of states at the Fermi level comes out at 5.19 states/eV per cell.


Record 6
Computed, not measured: Pa4SiTe2P after structural relaxation at the PBE-GGA level of DFT.

Cell lengths 4.091, 7.034, 7.559 Å; angles 108.33, 90.00, 90.00 degrees
Positions (direct):
Pa1 0.500 0.232 0.209
Pa2 0.500 0.768 0.791
Pa3 0.000 0.258 0.788
Pa4 0.000 0.742 0.212
Si1 0.500 0.500 0.000
Te1 0.500 0.000 0.500
Te2 0.000 0.500 0.500
P1 0.000 0.000 0.000

The crystal system is monoclinic. The calculation puts the energy relative to the elements, uncorrected at -0.8062 eV per atom. The density of states at the Fermi level comes out at 13.58 states/eV per cell.


Record 7
Computed, not measured: K5In2Sn4 after structural relaxation at the PBE-GGA level of DFT.

Cell lengths 6.798, 8.248, 9.391 Å; angles 56.40, 68.78, 65.66 degrees
Positions (direct):
K1 0.158 0.306 0.898
K2 0.842 0.694 0.102
K3 0.000 0.500 0.500
K4 0.638 0.306 0.898
K5 0.362 0.694 0.102
In1 0.173 0.963 0.691
In2 0.827 0.037 0.309
Sn1 0.387 0.770 0.455
Sn2 0.613 0.230 0.545
Sn3 0.751 0.790 0.708
Sn4 0.249 0.210 0.292

The crystal system is monoclinic. Its formation enthalpy at 0 K is -24.3 kJ/mol of formula units. The density of states at the Fermi level comes out at 5.39 states/eV per cell.